(1)
# ScIn2Ag, relaxed, DFT PBE-GGA
data_ScIn2Ag
_symmetry_space_group_name_H-M 'P 1'
_symmetry_Int_Tables_number 1
_cell_length_a 5.408
_cell_length_b 5.408
_cell_length_c 5.171
_cell_angle_alpha 77.31
_cell_angle_beta 77.31
_cell_angle_gamma 37.35
loop_
_symmetry_equiv_pos_as_xyz
'x,y,z'
loop_
_atom_site_label
_atom_site_type_symbol
_atom_site_fract_x
_atom_site_fract_y
_atom_site_fract_z
_atom_site_occupancy
Ag1 Ag 0.248 0.248 0.252 1
In1 In 0.995 0.995 0.013 1
In2 In 0.752 0.752 0.740 1
Sc1 Sc 0.506 0.506 0.494 1
# Magnetization ... 0.00 μB/atom
# E ... -15.37 eV/cell
# Theoretical density ... 7.1 Mg/m³

(2)
# ScInAg, relaxed, DFT PBE-GGA
data_ScInAg
_symmetry_space_group_name_H-M 'P 1'
_symmetry_Int_Tables_number 1
_cell_length_a 4.911
_cell_length_b 4.911
_cell_length_c 3.538
_cell_angle_alpha 68.69
_cell_angle_beta 68.69
_cell_angle_gamma 60.26
loop_
_symmetry_equiv_pos_as_xyz
'x,y,z'
loop_
_atom_site_label
_atom_site_type_symbol
_atom_site_fract_x
_atom_site_fract_y
_atom_site_fract_z
_atom_site_occupancy
Sc1 Sc 0.281 0.027 0.334 1
In1 In 0.877 0.623 0.736 1
Ag1 Ag 0.576 0.321 0.538 1
# Magnetization ... 0.00 μB/atom
# E ... -12.63 eV/cell
# Theoretical density ... 6.6 Mg/m³

(3)
# Sc2InAg, relaxed, DFT PBE-GGA
data_Sc2InAg
_symmetry_space_group_name_H-M 'P 1'
_symmetry_Int_Tables_number 1
_cell_length_a 4.960
_cell_length_b 3.503
_cell_length_c 4.958
_cell_angle_alpha 90.03
_cell_angle_beta 90.00
_cell_angle_gamma 90.00
loop_
_symmetry_equiv_pos_as_xyz
'x,y,z'
loop_
_atom_site_label
_atom_site_type_symbol
_atom_site_fract_x
_atom_site_fract_y
_atom_site_fract_z
_atom_site_occupancy
Sc1 Sc 0.000 0.125 0.876 1
Sc2 Sc 0.500 0.125 0.373 1
Ag1 Ag 0.000 0.625 0.377 1
In1 In 0.500 0.625 0.873 1
# Magnetization ... 0.00 μB/atom
# E ... -19.68 eV/cell
# Theoretical density ... 6.0 Mg/m³

(4)
# ScIn2Ag, relaxed, DFT PBE-GGA
data_ScIn2Ag
_symmetry_space_group_name_H-M 'P 1'
_symmetry_Int_Tables_number 1
_cell_length_a 4.831
_cell_length_b 3.196
_cell_length_c 5.867
_cell_angle_alpha 90.14
_cell_angle_beta 90.00
_cell_angle_gamma 90.00
loop_
_symmetry_equiv_pos_as_xyz
'x,y,z'
loop_
_atom_site_label
_atom_site_type_symbol
_atom_site_fract_x
_atom_site_fract_y
_atom_site_fract_z
_atom_site_occupancy
Ag1 Ag 0.500 0.999 0.741 1
In1 In 0.000 0.003 0.985 1
In2 In 0.500 0.999 0.272 1
Sc1 Sc 0.000 0.500 0.502 1
# Magnetization ... 0.00 μB/atom
# E ... -15.39 eV/cell
# Theoretical density ... 7.0 Mg/m³

- What is the formula in the third record?
  Sc2InAg

- E of number 1 (ScIn2Ag)?
  -15.37 eV/cell

Copy entry 1 word for word.
# ScIn2Ag, relaxed, DFT PBE-GGA
data_ScIn2Ag
_symmetry_space_group_name_H-M 'P 1'
_symmetry_Int_Tables_number 1
_cell_length_a 5.408
_cell_length_b 5.408
_cell_length_c 5.171
_cell_angle_alpha 77.31
_cell_angle_beta 77.31
_cell_angle_gamma 37.35
loop_
_symmetry_equiv_pos_as_xyz
'x,y,z'
loop_
_atom_site_label
_atom_site_type_symbol
_atom_site_fract_x
_atom_site_fract_y
_atom_site_fract_z
_atom_site_occupancy
Ag1 Ag 0.248 0.248 0.252 1
In1 In 0.995 0.995 0.013 1
In2 In 0.752 0.752 0.740 1
Sc1 Sc 0.506 0.506 0.494 1
# Magnetization ... 0.00 μB/atom
# E ... -15.37 eV/cell
# Theoretical density ... 7.1 Mg/m³

- Look up the E of the fourth one.
  -15.39 eV/cell